[1]
## PaTlGa2O8 (PBE)

Data for crystalline PaTlGa2O8 at its relaxed geometry.

Lattice parameters (Å, degrees): 6.0136 6.0136 6.0136 109.09 109.09 110.24
With the nearest neighbours (Å) after each atom.
Positions (direct):
Pa  0.0000  0.0000  0.0000  4 O 2.17
Tl  0.2500  0.7500  0.5000  4 O 2.25
Ga  0.7500  0.2500  0.5000  4 O 1.85
Ga  0.5000  0.5000  0.0000  4 O 1.86
O  0.3731  0.0697  0.3035  1 Ga 1.85
O  0.3019  0.4840  0.1821  1 Ga 1.86
O  0.3019  0.1199  0.8179  1 Ga 1.86
O  0.7662  0.0697  0.6965  1 Ga 1.85
O  0.8801  0.6981  0.1821  1 Ga 1.86
O  0.9303  0.2338  0.3035  1 Ga 1.85
O  0.9303  0.6269  0.6965  1 Ga 1.85
O  0.5160  0.6981  0.8179  1 Ga 1.86

- calculated density (g/cm³) = 6.97
- VASP energy (eV/atom) = -6.48
- N(E_F) (states/eV per atom) = 0.8956
- formation energy (no corrections) (eV/atom) = -1.679


[2]
## PrSb2Ru (PBE)

Data for crystalline PrSb2Ru at its relaxed geometry.

Lattice parameters (Å, degrees): 4.3679 4.3679 6.4167 70.10 70.10 60.00
With the nearest neighbours (Å) after each atom.
Positions (direct):
Pr  0.5000  0.5000  0.5000  6 Sb 3.16
Sb  0.2743  0.2743  0.1771  3 Ru 2.73
Sb  0.7257  0.7257  0.8230  3 Ru 2.73
Ru  0.0000  0.0000  0.0000  6 Sb 2.73

- calculated density (g/cm³) = 8.27
- VASP energy (eV/atom) = -6.10
- N(E_F) (states/eV per atom) = 0.9612
- formation energy (no corrections) (eV/atom) = -0.524